No. 1
The following is a DFT calculation (PBE-GGA) of a relaxed structure of Nb3BiF.

Lattice parameters (Å, degrees): 4.450 4.450 4.450 90.00 90.00 90.00
Positions (direct):
Nb1 0.000 0.500 0.000
Nb2 0.000 0.000 0.500
Nb3 0.500 0.000 0.000
Bi1 0.500 0.500 0.500
F1 0.000 0.000 0.000

SG = No. 221
Relative energy among the computed polymorphs = 0.000 eV/atom
Electronic total energy = -35.77 eV per cell

No. 2
The following is a DFT calculation (PBE-GGA) of a relaxed structure of DyScO2.

Lattice parameters (Å, degrees): 3.249 3.249 5.961 74.18 74.18 60.00
Positions (direct):
Dy1 0.495 0.495 0.514
Sc1 0.673 0.673 0.980
O1 0.071 0.071 0.788
O2 0.261 0.261 0.218

SG = No. 160
Electronic total energy = -31.93 eV per cell

No. 3
The following is a DFT calculation (PBE-GGA) of a relaxed structure of LiCa2NiSn2.

Lattice parameters (Å, degrees): 6.495 6.465 8.270 113.01 113.12 90.00
Positions (direct):
Li1 0.000 0.750 0.000
Li2 0.000 0.250 0.000
Ca1 0.410 0.159 0.317
Ca2 0.590 0.841 0.683
Ca3 0.093 0.341 0.683
Ca4 0.907 0.659 0.317
Ni1 0.500 0.750 0.000
Ni2 0.500 0.250 0.000
Sn1 0.833 0.101 0.201
Sn2 0.368 0.601 0.201
Sn3 0.632 0.399 0.799
Sn4 0.167 0.899 0.799

SG = No. 72
Electronic total energy = -45.21 eV per cell
Energy of formation from the pure elements = -483 meV/atom

No. 4
The following is a DFT calculation (PBE-GGA) of a relaxed structure of HoCoPd.

Lattice parameters (Å, degrees): 5.487 5.487 5.487 81.25 131.12 119.63
Site moments in Bohr magnetons follow the coordinates.
Positions (direct):
Ho1 0.250 0.630 0.880  -0.17
Ho2 0.750 0.370 0.120  -0.17
Pd1 0.000 0.000 0.500  0.00
Pd2 0.500 0.500 0.500  0.00
Co1 0.250 0.956 0.206  1.14
Co2 0.750 0.044 0.794  1.14

SG = No. 74
Electronic total energy = -35.34 eV per cell
Energy of formation from the pure elements = -265 meV/atom

No. 5
The following is a DFT calculation (PBE-GGA) of a relaxed structure of CeDy5Sb4.

Lattice parameters (Å, degrees): 4.336 8.459 9.604 105.30 103.05 90.00
Site moments in Bohr magnetons follow the coordinates.
Positions (direct):
Ce1 0.500 0.000 0.000  0.66
Dy1 0.821 0.651 0.641  0.01
Dy2 0.839 0.178 0.678  0.01
Dy3 0.161 0.822 0.322  0.01
Dy4 0.500 0.500 0.000  0.03
Dy5 0.179 0.349 0.359  0.01
Sb1 0.328 0.912 0.657  0.00
Sb2 0.990 0.737 0.980  -0.01
Sb3 0.672 0.088 0.343  0.00
Sb4 0.010 0.263 0.020  -0.01

SG = No. 12
Electronic total energy = -52.41 eV per cell

No. 6
The following is a DFT calculation (PBE-GGA) of a relaxed structure of TmLuThZr.

Lattice parameters (Å, degrees): 5.433 5.433 5.433 60.00 60.00 60.00
Positions (direct):
Lu1 0.750 0.750 0.750
Tm1 0.500 0.500 0.500
Th1 0.000 0.000 0.000
Zr1 0.250 0.250 0.250

SG = No. 216
Electronic total energy = -24.36 eV per cell
Energy of formation from the pure elements = 149 meV/atom

No. 7
The following is a DFT calculation (PBE-GGA) of a relaxed structure of LaPr3Tc.

Lattice parameters (Å, degrees): 4.041 6.586 12.783 82.62 80.91 72.14
Positions (direct):
La1 0.120 0.475 0.286
La2 0.223 0.542 0.011
Pr1 0.444 0.964 0.149
Pr2 0.764 0.713 0.760
Pr3 0.100 0.175 0.625
Pr4 0.983 0.135 0.899
Pr5 0.790 0.033 0.388
Pr6 0.432 0.613 0.523
Tc1 0.780 0.300 0.140
Tc2 0.426 0.387 0.761

SG = No. 8
Relative energy among the computed polymorphs = 0.000 eV/atom
Electronic total energy = -58.83 eV per cell
Energy of formation from the pure elements = 44 meV/atom

No. 8
The following is a DFT calculation (PBE-GGA) of a relaxed structure of Sm3Si6Pd2Au.

Lattice parameters (Å, degrees): 5.756 5.756 8.275 90.00 90.00 120.00
Positions (direct):
Sm1 0.333 0.667 0.607
Sm2 0.667 0.333 0.393
Sm3 0.000 0.000 0.000
Si1 0.616 0.808 0.273
Si2 0.192 0.384 0.273
Si3 0.192 0.808 0.273
Si4 0.808 0.616 0.727
Si5 0.384 0.192 0.727
Si6 0.808 0.192 0.727
Pd1 0.667 0.333 0.978
Pd2 0.333 0.667 0.022
Au1 0.000 0.000 0.500

SG = No. 164
Electronic total energy = -65.31 eV per cell

No. 9
The following is a DFT calculation (PBE-GGA) of a relaxed structure of HfMoW4.

Lattice parameters (Å, degrees): 4.559 5.342 5.354 62.38 64.80 64.74
Positions (direct):
Hf1 0.000 0.500 0.500
Mo1 0.000 0.000 0.000
W1 0.661 0.009 0.668
W2 0.339 0.991 0.332
W3 0.673 0.496 0.158
W4 0.327 0.504 0.842

SG = No. 12
Electronic total energy = -72.80 eV per cell
Energy of formation from the pure elements = -35 meV/atom

No. 10
The following is a DFT calculation (PBE-GGA) of a relaxed structure of Nd4TlGe2.

Lattice parameters (Å, degrees): 8.083 8.083 8.060 109.51 109.50 109.52
Positions (direct):
Nd1 0.003 0.259 0.395
Nd2 0.386 0.491 0.245
Nd3 0.865 0.609 0.605
Nd4 0.741 0.136 0.745
Nd5 0.391 0.996 0.255
Nd6 0.246 0.141 0.755
Nd7 0.509 0.753 0.895
Nd8 0.859 0.615 0.105
Tl1 0.250 0.750 0.500
Tl2 0.000 0.000 0.000
Ge1 0.495 0.375 0.620
Ge2 0.755 0.875 0.380
Ge3 0.625 0.245 0.120
Ge4 0.125 0.505 0.880

SG = No. 43
Electronic total energy = -69.88 eV per cell
Energy of formation from the pure elements = -609 meV/atom

No. 11
The following is a DFT calculation (PBE-GGA) of a relaxed structure of MnInAu6.

Lattice parameters (Å, degrees): 4.176 5.101 7.824 76.67 74.52 65.84
Site moments in Bohr magnetons follow the coordinates.
Positions (direct):
Mn1 0.000 0.000 0.000  4.01
In1 0.000 0.500 0.500  -0.01
Au1 0.242 0.880 0.635  -0.01
Au2 0.498 0.247 0.756  0.01
Au3 0.256 0.371 0.118  0.01
Au4 0.502 0.753 0.244  0.01
Au5 0.758 0.120 0.365  -0.01
Au6 0.744 0.629 0.882  0.01

SG = No. 12
Relative energy among the computed polymorphs = 0.000 eV/atom
Electronic total energy = -32.30 eV per cell
Energy of formation from the pure elements = -91 meV/atom

No. 12
The following is a DFT calculation (PBE-GGA) of a relaxed structure of Sm3Y6Sc.

Lattice parameters (Å, degrees): 8.479 8.897 6.237 97.79 132.82 90.00
Positions (direct):
Sm1 0.783 0.259 0.566
Sm2 0.217 0.741 0.434
Sm3 0.000 0.000 0.000
Y1 0.304 0.357 0.238
Y2 0.066 0.643 0.762
Y3 0.696 0.643 0.762
Y4 0.934 0.357 0.238
Y5 0.383 0.137 0.766
Y6 0.617 0.863 0.234
Sc1 0.500 0.500 0.000

SG = No. 12
Relative energy among the computed polymorphs = 0.143 eV/atom
Electronic total energy = -56.42 eV per cell
Energy of formation from the pure elements = 285 meV/atom